# KAcTl2

An optimized crystal structure of KAcTl2 (PBE, the Alexandria database).

```
4
Lattice="2.0375 1.1764 10.9496 -2.0375 1.1764 10.9496 0.0000 -2.3527 10.9496" Properties=species:S:1:pos:R:3 pbc="T T T"
K 0.0000 0.0000 0.0000
Ac 0.0000 0.0000 16.4244
Tl 0.0000 0.0000 8.1051
Tl 0.0000 0.0000 24.7437
```

Output
The value obtained for the final energy is -10.2 eV for the cell shown. Its space group is R-3m. Its formation energy is -0.07 eV per atom.